(1)
La3In4Hg4: relaxed, GGA-PBE.

## Properties
Symmetry   P-1
Calculated formation energy   -433 kJ/mol of formula units

Unit cell a=3.9947 b=4.9810 c=15.5825 alpha=80.13 beta=82.61 gamma=89.97
Fractional coordinates of all 11 atoms:
La: 0.1412 0.6525 0.7148
La: 0.8588 0.3475 0.2852
La: 0.0000 0.0000 0.0000
In: 0.6207 0.0993 0.8145
In: 0.2533 0.2522 0.4819
In: 0.7467 0.7478 0.5181
In: 0.3793 0.9007 0.1855
Hg: 0.5166 0.5504 0.9055
Hg: 0.4834 0.4496 0.0945
Hg: 0.3303 0.8036 0.3712
Hg: 0.6698 0.1964 0.6289

(2)
LaSiAu: relaxed, GGA-PBE.

## Properties
Symmetry   Pnma
Formation energy from raw total energies   -0.66 eV/atom

Unit cell a=5.6091 b=4.1909 c=11.8049 alpha=90.00 beta=90.00 gamma=90.00
Fractional coordinates of all 12 atoms:
Si: 0.3779 0.2500 0.4700
Si: 0.1221 0.7500 0.9700
Si: 0.6221 0.7500 0.5300
Si: 0.8779 0.2500 0.0300
Au: 0.1519 0.2500 0.8361
Au: 0.3481 0.7500 0.3361
Au: 0.8481 0.7500 0.1639
Au: 0.6519 0.2500 0.6639
La: 0.8775 0.2500 0.3636
La: 0.6225 0.7500 0.8636
La: 0.1225 0.7500 0.6364
La: 0.3775 0.2500 0.1364

(3)
Ac2NiBPd6: relaxed, GGA-PBE.

## Properties
Symmetry   C2/m
Calculated formation energy   -572 kJ/mol of formula units

Unit cell a=5.8841 b=7.2208 c=7.2263 alpha=48.07 beta=65.92 gamma=89.98
Fractional coordinates of all 10 atoms:
Ac: 0.7206 0.2795 0.5582
Ac: 0.2794 0.7205 0.4418
Ni: 0.0000 0.0000 0.0000
B: 0.5000 0.5000 0.0000
Pd: 0.2656 0.2146 0.4680
Pd: 0.7854 0.7344 0.9482
Pd: 0.2658 0.7342 0.9474
Pd: 0.7342 0.2658 0.0526
Pd: 0.2146 0.2656 0.0518
Pd: 0.7344 0.7854 0.5320

(4)
NaGa2Au: relaxed, GGA-PBE.

## Properties
Symmetry   Fm-3m
Calculated formation energy   -57 kJ/mol of formula units

Unit cell a=4.7246 b=4.7246 c=4.7246 alpha=60.00 beta=60.00 gamma=60.00
Fractional coordinates of all 4 atoms:
Na: 0.0000 0.0000 0.0000
Au: 0.5000 0.5000 0.5000
Ga: 0.2500 0.2500 0.2500
Ga: 0.7500 0.7500 0.7500

(5)
KCd2Au9: relaxed, GGA-PBE.

## Properties
Symmetry   R-3m
Calculated formation energy   -156 kJ/mol of formula units

Unit cell a=5.7054 b=5.7054 c=9.6038 alpha=72.72 beta=72.72 gamma=60.00
Fractional coordinates of all 12 atoms:
K: 0.0000 0.0000 0.0000
Cd: 0.8554 0.8554 0.4339
Cd: 0.1446 0.1446 0.5661
Au: 0.6663 0.6663 0.0010
Au: 0.3337 0.3337 0.9990
Au: 0.5000 0.5000 0.5000
Au: 0.4108 0.4108 0.2584
Au: 0.9200 0.4108 0.2584
Au: 0.4108 0.9200 0.2584
Au: 0.5892 0.5892 0.7416
Au: 0.5892 0.0800 0.7416
Au: 0.0800 0.5892 0.7416

(6)
MgPt2Au: relaxed, GGA-PBE.

## Properties
Symmetry   R-3m
Calculated formation energy   -147 kJ/mol of formula units

Unit cell a=9.4346 b=9.4346 c=9.4346 alpha=17.37 beta=17.37 gamma=17.37
Fractional coordinates of all 4 atoms:
Au: 0.2500 0.2500 0.2500
Mg: 0.7500 0.7500 0.7500
Pt: 0.0068 0.0068 0.0068
Pt: 0.4932 0.4932 0.4932

(7)
CrCd2Cl: relaxed, GGA-PBE.

## Properties
Symmetry   P4mm
ΔE to the lowest computed polymorph   33 meV per atom
Formation energy from raw total energies   0.01 eV/atom

Unit cell a=3.2096 b=3.2096 c=8.5848 alpha=90.00 beta=90.00 gamma=90.00
Fractional coordinates of all 4 atoms:
Cr: 0.5000 0.5000 0.7384
Cl: 0.0000 0.0000 0.5700
Cd: 0.0000 0.0000 0.9670
Cd: 0.5000 0.5000 0.2246

(8)
AlSeCl2: relaxed, GGA-PBE.

## Properties
Symmetry   R-3m
ΔE to the lowest computed polymorph   636 meV per atom
Formation energy from raw total energies   -0.27 eV/atom

Unit cell a=8.8747 b=8.8747 c=8.8747 alpha=22.26 beta=22.26 gamma=22.26
Fractional coordinates of all 4 atoms:
Al: 0.7500 0.7500 0.7500
Se: 0.2500 0.2500 0.2500
Cl: 0.0284 0.0284 0.0284
Cl: 0.4716 0.4716 0.4716

(9)
In2CuSi: relaxed, GGA-PBE.

## Properties
Symmetry   I4/mmm
Formation energy from raw total energies   0.35 eV/atom

Unit cell a=5.0670 b=5.0670 c=5.0670 alpha=127.40 beta=127.40 gamma=77.59
Fractional coordinates of all 4 atoms:
Cu: 0.7500 0.2500 0.5000
In: 0.0000 0.0000 0.0000
In: 0.5000 0.5000 0.0000
Si: 0.2500 0.7500 0.5000

(10)
TbAlCu2Pt4: relaxed, GGA-PBE.

## Properties
Symmetry   R-3m
Calculated formation energy   -541 kJ/mol of formula units

Unit cell a=4.3907 b=4.3907 c=8.1290 alpha=74.33 beta=74.33 gamma=60.00
Fractional coordinates of all 8 atoms:
Tb: 0.0000 0.0000 0.0000
Al: 0.5000 0.5000 0.5000
Cu: 0.7486 0.7486 0.7543
Cu: 0.2514 0.2514 0.2457
Pt: 0.3955 0.3955 0.8134
Pt: 0.8691 0.8691 0.3926
Pt: 0.1309 0.1309 0.6073
Pt: 0.6045 0.6045 0.1866

(11)
HfZn2Hg: relaxed, GGA-PBE.

## Properties
Symmetry   P4/mmm
Calculated formation energy   -33 kJ/mol of formula units

Unit cell a=3.8673 b=4.3338 c=4.3338 alpha=90.00 beta=90.00 gamma=90.00
Fractional coordinates of all 4 atoms:
Zn: 0.0000 0.0000 0.5000
Zn: 0.0000 0.5000 0.0000
Hf: 0.5000 0.5000 0.5000
Hg: 0.5000 0.0000 0.0000

(12)
Sc3TaF: relaxed, GGA-PBE.

## Properties
Symmetry   Pm-3m
ΔE to the lowest computed polymorph   1228 meV per atom
Formation energy from raw total energies   0.46 eV/atom

Unit cell a=5.1862 b=5.1862 c=5.1862 alpha=90.00 beta=90.00 gamma=90.00
Fractional coordinates of all 5 atoms:
Sc: 0.0000 0.5000 0.0000
Sc: 0.0000 0.0000 0.5000
Sc: 0.5000 0.0000 0.0000
F: 0.5000 0.5000 0.5000
Ta: 0.0000 0.0000 0.0000